[1]
A geometry-optimized Mn4Au structure. Source: Alexandria via LeMat-Bulk, functional PBE-GGA.

formation energy from the elements = 1218 meV per atom
excess energy over the best structure of this formula in the dataset = 896 meV/atom
VASP energy = -33.86 eV/cell

Cell: 4.913 4.913 4.913 Å, 90.00 90.00 90.00°
Space group Pm-3m (No. 221)
Inequivalent atoms, fractional coordinates:
Mn: 0.000 0.000 0.000 x1
Mn: 0.000 0.500 0.500 x3
Au: 0.500 0.500 0.500 x1

[2]
A geometry-optimized Er5Ge4H structure. Source: Alexandria via LeMat-Bulk, functional PBE-GGA.

VASP energy = -101.54 eV/cell

Cell: 9.028 9.028 5.746 Å, 90.00 90.00 90.00°
Space group I4 (No. 79)
Inequivalent atoms, fractional coordinates:
Er: 0.000 0.000 0.000 x2
Er: 0.098 0.702 0.540 x8
Ge: 0.101 0.703 0.041 x8
H: 0.000 0.000 0.593 x2

[3]
A geometry-optimized Li3HgMo structure. Source: Alexandria via LeMat-Bulk, functional PBE-GGA.

formation energy from the elements = 1100 meV per atom
excess energy over the best structure of this formula in the dataset = 269 meV/atom
VASP energy = -11.37 eV/cell

Cell: 5.084 5.084 5.084 Å, 90.00 90.00 90.00°
Space group Pm-3m (No. 221)
Inequivalent atoms, fractional coordinates:
Li: 0.000 0.000 0.500 x3
Hg: 0.500 0.500 0.500 x1
Mo: 0.000 0.000 0.000 x1

[4]
A geometry-optimized PaTiTcW structure. Source: Alexandria via LeMat-Bulk, functional PBE-GGA.

formation energy from the elements = -99 meV per atom
VASP energy = -164.42 eV/cell

Cell: 6.588 6.588 6.588 Å, 90.00 90.00 90.00°
Space group F-43m (No. 216)
Inequivalent atoms, fractional coordinates:
Pa: 0.000 0.000 0.000 x4
Ti: 0.000 0.000 0.500 x4
Tc: 0.250 0.250 0.250 x4
W: 0.250 0.250 0.750 x4

[5]
A geometry-optimized Sm2Ge3Ru structure. Source: Alexandria via LeMat-Bulk, functional PBE-GGA.

formation energy from the elements = -645 meV per atom
VASP energy = -291.50 eV/cell

Cell: 8.180 8.597 14.745 Å, 90.00 90.00 90.00°
Space group Fmmm (No. 69)
Inequivalent atoms, fractional coordinates:
Sm: 0.243 0.000 0.000 x8
Sm: 0.250 0.250 0.250 x8
Ge: 0.000 0.000 0.330 x8
Ge: 0.000 0.246 0.085 x16
Ru: 0.000 0.000 0.166 x8

> VASP energy of number 1 (Mn4Au)?

-33.86 eV/cell

What did the fourth record say?
A geometry-optimized PaTiTcW structure. Source: Alexandria via LeMat-Bulk, functional PBE-GGA.

formation energy from the elements = -99 meV per atom
VASP energy = -164.42 eV/cell

Cell: 6.588 6.588 6.588 Å, 90.00 90.00 90.00°
Space group F-43m (No. 216)
Inequivalent atoms, fractional coordinates:
Pa: 0.000 0.000 0.000 x4
Ti: 0.000 0.000 0.500 x4
Tc: 0.250 0.250 0.250 x4
W: 0.250 0.250 0.750 x4

What did the first record say?
A geometry-optimized Mn4Au structure. Source: Alexandria via LeMat-Bulk, functional PBE-GGA.

formation energy from the elements = 1218 meV per atom
excess energy over the best structure of this formula in the dataset = 896 meV/atom
VASP energy = -33.86 eV/cell

Cell: 4.913 4.913 4.913 Å, 90.00 90.00 90.00°
Space group Pm-3m (No. 221)
Inequivalent atoms, fractional coordinates:
Mn: 0.000 0.000 0.000 x1
Mn: 0.000 0.500 0.500 x3
Au: 0.500 0.500 0.500 x1

> VASP energy of number 3 (Li3HgMo)?

-11.37 eV/cell